# 1
Below is a geometry-optimized TcSb2Mo structure, with properties calculated at the PBE level.

The structure in CIF format:
```
data_TcSb2Mo
_cell_length_a 4.266
_cell_length_b 4.266
_cell_length_c 9.624
_cell_angle_alpha 77.20
_cell_angle_beta 77.20
_cell_angle_gamma 90.00
_space_group_name_H-M_alt 'P 1'
_space_group_IT_number 1
loop_
_space_group_symop_operation_xyz
'x,y,z'
loop_
_atom_site_label
_atom_site_type_symbol
_atom_site_fract_x
_atom_site_fract_y
_atom_site_fract_z
Sb1 Sb 0.629 0.125 0.250
Sb2 Sb 0.121 0.625 0.250
Sb3 Sb 0.375 0.371 0.750
Sb4 Sb 0.875 0.879 0.750
Mo1 Mo 0.500 0.500 0.000
Mo2 Mo 0.250 0.750 0.500
Tc1 Tc 0.000 0.000 0.000
Tc2 Tc 0.750 0.250 0.500
```

Summary:
**Offset from the most stable computed form**: 61.31 kJ/mol of atoms
**Energy relative to the elements, uncorrected**: 0.70 eV per atom


# 2
Below is a geometry-optimized TcSb2Mo structure, with properties calculated at the PBE level.

The structure in CIF format:
```
data_TcSb2Mo
_cell_length_a 5.105
_cell_length_b 5.105
_cell_length_c 5.105
_cell_angle_alpha 130.52
_cell_angle_beta 130.52
_cell_angle_gamma 72.58
_space_group_name_H-M_alt 'P 1'
_space_group_IT_number 1
loop_
_space_group_symop_operation_xyz
'x,y,z'
loop_
_atom_site_label
_atom_site_type_symbol
_atom_site_fract_x
_atom_site_fract_y
_atom_site_fract_z
Mo1 Mo 0.750 0.250 0.500
Sb1 Sb 0.000 0.000 0.000
Sb2 Sb 0.250 0.750 0.500
Tc1 Tc 0.500 0.500 0.000
```

Summary:
**Offset from the most stable computed form**: 45.89 kJ/mol of atoms
**Energy relative to the elements, uncorrected**: 0.54 eV per atom


# 3
Below is a geometry-optimized TcSbMo2 structure, with properties calculated at the PBE level.

The structure in CIF format:
```
data_TcSbMo2
_cell_length_a 4.555
_cell_length_b 3.824
_cell_length_c 3.824
_cell_angle_alpha 90.00
_cell_angle_beta 90.00
_cell_angle_gamma 90.00
_space_group_name_H-M_alt 'P 1'
_space_group_IT_number 1
loop_
_space_group_symop_operation_xyz
'x,y,z'
loop_
_atom_site_label
_atom_site_type_symbol
_atom_site_fract_x
_atom_site_fract_y
_atom_site_fract_z
Mo1 Mo 0.000 0.000 0.000
Mo2 Mo 0.000 0.500 0.500
Sb1 Sb 0.500 0.500 0.000
Tc1 Tc 0.500 0.000 0.500
```

Summary:
**Energy relative to the elements, uncorrected**: 0.32 eV per atom


# 4
Below is a geometry-optimized TcSbMo structure, with properties calculated at the PBE level.

The structure in CIF format:
```
data_TcSbMo
_cell_length_a 3.040
_cell_length_b 3.040
_cell_length_c 6.624
_cell_angle_alpha 90.00
_cell_angle_beta 90.00
_cell_angle_gamma 120.00
_space_group_name_H-M_alt 'P 1'
_space_group_IT_number 1
loop_
_space_group_symop_operation_xyz
'x,y,z'
loop_
_atom_site_label
_atom_site_type_symbol
_atom_site_fract_x
_atom_site_fract_y
_atom_site_fract_z
Mo1 Mo 0.000 0.000 0.978
Sb1 Sb 0.667 0.333 0.336
Tc1 Tc 0.333 0.667 0.685
```

Summary:
**Offset from the most stable computed form**: 21.71 kJ/mol of atoms
**Energy relative to the elements, uncorrected**: 0.31 eV per atom


# 5
Below is a geometry-optimized TcSb3Mo structure, with properties calculated at the PBE level.

The structure in CIF format:
```
data_TcSb3Mo
_cell_length_a 3.471
_cell_length_b 7.271
_cell_length_c 9.101
_cell_angle_alpha 104.03
_cell_angle_beta 89.97
_cell_angle_gamma 103.83
_space_group_name_H-M_alt 'P 1'
_space_group_IT_number 1
loop_
_space_group_symop_operation_xyz
'x,y,z'
loop_
_atom_site_label
_atom_site_type_symbol
_atom_site_fract_x
_atom_site_fract_y
_atom_site_fract_z
Tc1 Tc 0.482 0.534 0.729
Tc2 Tc 0.069 0.706 0.330
Sb1 Sb 0.714 0.997 0.376
Sb2 Sb 0.913 0.394 0.085
Sb3 Sb 0.638 0.845 0.974
Sb4 Sb 0.108 0.785 0.645
Sb5 Sb 0.837 0.243 0.683
Sb6 Sb 0.443 0.454 0.414
Mo1 Mo 0.266 0.101 0.171
Mo2 Mo 0.285 0.139 0.888
```

Summary:
**Offset from the most stable computed form**: 0.00 kJ/mol of atoms
**Energy relative to the elements, uncorrected**: 0.14 eV per atom


# 6
Below is a geometry-optimized Tc2SbMo structure, with properties calculated at the PBE level.

The structure in CIF format:
```
data_Tc2SbMo
_cell_length_a 8.873
_cell_length_b 8.873
_cell_length_c 8.873
_cell_angle_alpha 19.32
_cell_angle_beta 19.32
_cell_angle_gamma 19.32
_space_group_name_H-M_alt 'P 1'
_space_group_IT_number 1
loop_
_space_group_symop_operation_xyz
'x,y,z'
loop_
_atom_site_label
_atom_site_type_symbol
_atom_site_fract_x
_atom_site_fract_y
_atom_site_fract_z
Mo1 Mo 0.505 0.505 0.505
Sb1 Sb 0.749 0.749 0.749
Tc1 Tc 0.996 0.996 0.996
Tc2 Tc 0.251 0.251 0.251
```

Summary:
**Energy relative to the elements, uncorrected**: 0.36 eV per atom


Which of these has the highest energy relative to the elements, uncorrected? number 1


The lowest energy relative to the elements, uncorrected belongs to which entry? TcSb3Mo